Entry from Alexandria via LeMat-Bulk: a relaxed AlMo2W crystal (PBE-GGA).

POSCAR file:
```
AlMo2W
1.0
9.539 0.019 0.011
9.122 2.790 0.011
9.122 1.373 2.429
Al Mo W
1 2 1
direct
0.750 0.750 0.750 Al
0.498 0.498 0.498 Mo
0.002 0.002 0.002 Mo
0.250 0.250 0.250 W
```

Computed properties:
VASP energy = -9.37 eV/atom
Mass density = 10.46 g cm⁻³

=====

Entry from Alexandria via LeMat-Bulk: a relaxed TmCoGe2Os crystal (PBE-GGA).

POSCAR file:
```
TmCoGe2Os
1.0
4.090 0.000 0.000
0.000 4.090 0.000
-2.045 -2.045 5.029
Co Os Tm Ge
1 1 1 2
direct
0.750 0.250 0.500 Co
0.250 0.750 0.500 Os
0.000 0.000 0.000 Tm
0.375 0.375 0.750 Ge
0.625 0.625 0.250 Ge
```

Computed properties:
VASP energy = -6.88 eV/atom
Mass density = 11.12 g cm⁻³

=====

Entry from Alexandria via LeMat-Bulk: a relaxed Re2SbS crystal (PBE-GGA).

POSCAR file:
```
Re2SbS
1.0
-4.325 -1.129 0.296
-2.835 2.580 2.318
-3.098 2.417 -2.151
S Re Sb
1 2 1
direct
0.000 0.000 0.000 S
0.750 0.750 0.750 Re
0.250 0.250 0.250 Re
0.500 0.500 0.500 Sb
```

Computed properties:
Formation energy without anion corrections = 0.7062 eV per atom
VASP energy = -7.58 eV/atom
Mass density = 13.75 g cm⁻³
Energy above the most stable polymorph in this dataset = 0.000 eV/atom

=====

The lowest VASP energy belongs to which entry?
AlMo2W